A plane-wave DFT calculation with PBE was carried out for a relaxed structure of ReAs.

POSCAR file:
```
ReAs
1.0
-0.015 3.657 0.159
-2.708 1.746 1.737
0.657 1.697 3.176
Re As
1 1
direct
0.500 0.500 0.500
0.000 0.000 0.000
```

Values from the calculation:
V: 17.34 Å³ per atom
Uncorrected energy: -7.536 eV per atom
D(E_F): 2.5 states/eV/cell
Offset from the most stable computed form: 938 meV/atom

A plane-wave DFT calculation with PBE was carried out for a relaxed structure of MgReBr2.

POSCAR file:
```
MgReBr2
1.0
3.310 0.000 0.000
0.000 3.847 -0.074
0.000 2.059 7.899
Mg Br Re
1 2 1
direct
0.000 0.539 0.546
0.500 0.133 0.355
0.000 0.856 0.917
0.500 0.971 0.683
```

Values from the calculation:
V: 25.27 Å³ per atom
Uncorrected energy: -4.244 eV per atom
Raw formation energy: 0.10 eV per atom
D(E_F): 3.1 states/eV/cell
Offset from the most stable computed form: 56 meV/atom